The following is a GGA-PBE calculation of a relaxed ScZnGa2Pd2 crystal, from Alexandria via LeMat-Bulk.

a b c (Å): 4.387 4.387 5.891
angles (deg): 90.00 90.00 120.00
Positions (direct):
Sc 0.000 0.000 0.500
Ga 0.333 0.667 0.749
Ga 0.667 0.333 0.251
Pd 0.667 0.333 0.781
Pd 0.333 0.667 0.219
Zn 0.000 0.000 0.000

Density ... 7.83 Mg/m³
Density of states at the Fermi level ... 3.24 states/eV/f.u.
Spin magnetization ... 0.0 μB/cell
Energy ... -4.6347 eV/atom

***

The following is a GGA-PBE calculation of a relaxed Pr2ErTl crystal, from Alexandria via LeMat-Bulk.

a b c (Å): 6.870 6.951 6.951
angles (deg): 72.77 60.39 60.39
Positions (direct):
Pr 0.799 0.701 0.201
Pr 0.201 0.299 0.799
Pr 0.299 0.701 0.201
Pr 0.701 0.299 0.799
Tl 0.250 0.197 0.303
Tl 0.750 0.803 0.697
Er 0.750 0.183 0.317
Er 0.250 0.817 0.683

Energy above the most stable polymorph in this dataset ... 0.00 eV/f.u.
Density ... 8.67 Mg/m³
Density of states at the Fermi level ... 4.52 states/eV/f.u.
Spin magnetization ... 0.0 μB/cell

***

The following is a GGA-PBE calculation of a relaxed Dy2AlPt crystal, from Alexandria via LeMat-Bulk.

a b c (Å): 5.029 5.029 5.029
angles (deg): 60.00 60.00 60.00
Positions (direct):
Al 0.000 0.000 0.000
Dy 0.750 0.750 0.750
Dy 0.250 0.250 0.250
Pt 0.500 0.500 0.500

Energy above the most stable polymorph in this dataset ... 0.29 eV/f.u.
Density ... 10.10 Mg/m³
Density of states at the Fermi level ... 2.40 states/eV/f.u.
Spin magnetization ... 0.0 μB/cell

***

The following is a GGA-PBE calculation of a relaxed EuHoInGe crystal, from Alexandria via LeMat-Bulk.

a b c (Å): 5.283 5.283 5.283
angles (deg): 60.00 60.00 60.00
Positions (direct):
Ge 0.250 0.250 0.250
Eu 0.000 0.000 0.000
In 0.750 0.750 0.750
Ho 0.500 0.500 0.500

Density ... 8.03 Mg/m³
Density of states at the Fermi level ... 2.17 states/eV/f.u.
Spin magnetization ... 7.1 μB/cell
Energy ... -6.0078 eV/atom

***

The following is a GGA-PBE calculation of a relaxed ScAl2Tc crystal, from Alexandria via LeMat-Bulk.

a b c (Å): 5.110 5.110 4.427
angles (deg): 66.49 66.49 38.86
Positions (direct):
Tc 0.257 0.257 0.262
Sc 0.510 0.510 0.477
Al 0.991 0.991 0.990
Al 0.743 0.743 0.771

Energy above the most stable polymorph in this dataset ... 0.36 eV/f.u.
Density ... 4.98 Mg/m³
Density of states at the Fermi level ... 2.44 states/eV/f.u.
Spin magnetization ... 0.0 μB/cell

***

The following is a GGA-PBE calculation of a relaxed Pm7Pb2O2 crystal, from Alexandria via LeMat-Bulk.

a b c (Å): 6.959 6.500 6.959
angles (deg): 94.77 109.28 85.23
Positions (direct):
O 0.780 0.031 0.220
O 0.220 0.969 0.780
Pm 0.072 0.226 0.505
Pm 0.928 0.774 0.495
Pm 0.000 0.000 0.000
Pm 0.505 0.774 0.072
Pm 0.427 0.788 0.573
Pm 0.573 0.212 0.427
Pm 0.495 0.226 0.928
Pb 0.815 0.500 0.815
Pb 0.185 0.500 0.185

Density ... 8.21 Mg/m³
Formation energy (no corrections) ... -10.97 eV/f.u.
Density of states at the Fermi level ... 9.73 states/eV/f.u.
Spin magnetization ... 0.0 μB/cell

***

The following is a GGA-PBE calculation of a relaxed Sm7In2Hg2 crystal, from Alexandria via LeMat-Bulk.

a b c (Å): 6.925 7.922 6.925
angles (deg): 90.00 109.52 90.00
Positions (direct):
Sm 0.500 0.286 0.000
Sm 0.500 0.743 0.500
Sm 0.500 0.714 0.000
Sm 0.000 0.286 0.500
Sm 0.000 0.714 0.500
Sm 0.500 0.257 0.500
Sm 0.000 0.000 0.000
In 0.177 0.500 0.177
In 0.823 0.500 0.823
Hg 0.713 0.000 0.287
Hg 0.287 0.000 0.713

Density ... 7.81 Mg/m³
Density of states at the Fermi level ... 14.39 states/eV/f.u.
Spin magnetization ... 0.0 μB/cell
Energy ... -3.6613 eV/atom

***

The following is a GGA-PBE calculation of a relaxed ZrV2P crystal, from Alexandria via LeMat-Bulk.

a b c (Å): 7.292 7.292 5.748
angles (deg): 50.63 50.63 90.00
Positions (direct):
Zr 0.000 0.000 0.000
Zr 0.750 0.250 0.500
V 0.375 0.450 0.750
V 0.200 0.625 0.250
V 0.875 0.800 0.750
V 0.550 0.125 0.250
P 0.500 0.500 0.000
P 0.250 0.750 0.500

Density ... 5.51 Mg/m³
Density of states at the Fermi level ... 4.77 states/eV/f.u.
Spin magnetization ... 0.0 μB/cell
Energy ... -8.1484 eV/atom